Entry 1:
The following is a PBE-GGA calculation of crystalline YReCl at its relaxed geometry, from Alexandria.

Cell: 8.0435 8.0435 8.0435 Å, 158.21 158.21 31.01°
With the nearest neighbours (Å) after each atom.
Fractional coordinates of all 3 atoms:
1 Y 0.0000 0.0000 0.0000  4 Cl 2.83, 4 Re 3.02, 4 Y 3.04
2 Re 0.3633 0.3633 0.0000  4 Y 3.02, 4 Re 3.04
3 Cl 0.6183 0.6183 0.0000  4 Y 2.83, 4 Cl 3.04

Summary:
* offset from the most stable computed form: 0 meV/atom
* ΔE_f (raw): 12.71 kJ per mole of atoms


Entry 2:
The following is a PBE-GGA calculation of crystalline Y4ReCl at its relaxed geometry, from Alexandria.

Cell: 6.1557 6.1557 6.1557 Å, 60.00 60.00 60.00°
With the nearest neighbours (Å) after each atom.
Fractional coordinates of all 6 atoms:
1 Y 0.3777 0.3777 0.3777  6 Y 3.01-3.14
2 Y 0.3777 0.3777 0.8669  6 Y 3.01-3.14
3 Y 0.3777 0.8669 0.3777  6 Y 3.01-3.14
4 Y 0.8669 0.3777 0.3777  6 Y 3.01-3.14
5 Re 0.7500 0.7500 0.7500  12 Y 3.60, 4 Cl 3.77
6 Cl 0.0000 0.0000 0.0000  12 Y 3.62, 4 Re 3.77

Summary:
* ΔE_f (raw): 90.25 kJ per mole of atoms


Entry 3:
The following is a PBE-GGA calculation of crystalline YReCl at its relaxed geometry, from Alexandria.

Cell: 8.1690 8.0406 3.0639 Å, 81.47 76.76 21.77°
With the nearest neighbours (Å) after each atom.
Fractional coordinates of all 3 atoms:
1 Y 0.0000 0.0000 0.0000  2 Cl 2.70, 2 Re 2.86
2 Re 0.3640 0.3640 0.6360  2 Y 2.86, 4 Re 3.06
3 Cl 0.6222 0.6222 0.3778  2 Y 2.70

Summary:
* offset from the most stable computed form: 10 meV/atom
* ΔE_f (raw): 13.63 kJ per mole of atoms


Entry 4:
The following is a PBE-GGA calculation of crystalline YReCl4 at its relaxed geometry, from Alexandria.

Cell: 5.8235 5.8235 5.8235 Å, 60.00 60.00 60.00°
With the nearest neighbours (Å) after each atom.
Fractional coordinates of all 6 atoms:
1 Y 0.0000 0.0000 0.0000  12 Cl 3.41, 4 Re 3.57
2 Re 0.2500 0.2500 0.2500  12 Cl 3.41, 4 Y 3.57
3 Cl 0.1246 0.6251 0.6251  6 Cl 2.91
4 Cl 0.6251 0.1246 0.6251  6 Cl 2.91
5 Cl 0.6251 0.6251 0.1246  6 Cl 2.91
6 Cl 0.6251 0.6251 0.6251  6 Cl 2.91

Summary:
* ΔE_f (raw): 63.09 kJ per mole of atoms


Entry 5:
The following is a PBE-GGA calculation of crystalline ZnReCl3 at its relaxed geometry, from Alexandria.

Cell: 4.8619 4.8619 4.8619 Å, 90.00 90.00 90.00°
With the nearest neighbours (Å) after each atom.
Fractional coordinates of all 5 atoms:
1 Zn 0.0000 0.0000 0.0000  12 Cl 3.44
2 Re 0.5000 0.5000 0.5000  6 Cl 2.43
3 Cl 0.0000 0.5000 0.5000  2 Re 2.43
4 Cl 0.5000 0.0000 0.5000  2 Re 2.43
5 Cl 0.5000 0.5000 0.0000  2 Re 2.43

Summary:
* offset from the most stable computed form: 0 meV/atom
* ΔE_f (raw): 19.51 kJ per mole of atoms


Entry 6:
The following is a PBE-GGA calculation of crystalline Zn3ReCl at its relaxed geometry, from Alexandria.

Cell: 4.5286 4.5286 4.5286 Å, 90.00 90.00 90.00°
With the nearest neighbours (Å) after each atom.
Fractional coordinates of all 5 atoms:
1 Zn 0.0000 0.0000 0.5000  2 Cl 2.26
2 Zn 0.0000 0.5000 0.0000  2 Cl 2.26
3 Zn 0.5000 0.0000 0.0000  2 Cl 2.26
4 Re 0.5000 0.5000 0.5000  12 Zn 3.20
5 Cl 0.0000 0.0000 0.0000  6 Zn 2.26

Summary:
* offset from the most stable computed form: 590 meV/atom
* ΔE_f (raw): 138.41 kJ per mole of atoms